1.
A relaxed structure of NaBe3Tl, computed with GGA-PBE. Values from VASP.

**Space-group type**: Pm-3m, No. 221
**DFT total energy**: -1.91 eV per atom
**Crystal system**: cubic

```
&SYSTEM
  ibrav = 0, nat = 5, ntyp = 3
/
ATOMIC_SPECIES
Be 9.01 Be.upf
Tl 204.38 Tl.upf
Na 22.99 Na.upf
CELL_PARAMETERS angstrom
-2.2694 -2.3735 3.2877
4.0394 -0.9936 2.0710
-0.3548 3.8693 2.5485
ATOMIC_POSITIONS angstrom
Be 2.0197 -0.4968 1.0355
Be -0.1774 1.9347 1.2743
Be -1.1347 -1.1868 1.6438
Tl 0.0000 0.0000 0.0000
Na 0.7076 0.2511 3.9536
```

2.
A relaxed structure of NaBeTl2, computed with GGA-PBE. Values from VASP.

**Space-group type**: Fm-3m, No. 225
**DFT total energy**: -2.09 eV per atom
**Crystal system**: cubic

```
&SYSTEM
  ibrav = 0, nat = 4, ntyp = 3
/
ATOMIC_SPECIES
Tl 204.38 Tl.upf
Be 9.01 Be.upf
Na 22.99 Na.upf
CELL_PARAMETERS angstrom
0.0000 3.5593 3.5593
3.5593 0.0000 3.5593
3.5593 3.5593 0.0000
ATOMIC_POSITIONS angstrom
Tl 1.7796 1.7796 1.7796
Tl 5.3389 5.3389 5.3389
Be 0.0000 0.0000 0.0000
Na 3.5593 3.5593 3.5593
```

3.
A relaxed structure of Na3BeTl, computed with GGA-PBE. Values from VASP.

**Space-group type**: Pm-3m, No. 221
**DFT total energy**: -1.51 eV per atom
**Crystal system**: cubic

```
&SYSTEM
  ibrav = 0, nat = 5, ntyp = 3
/
ATOMIC_SPECIES
Tl 204.38 Tl.upf
Na 22.99 Na.upf
Be 9.01 Be.upf
CELL_PARAMETERS angstrom
5.4099 0.0000 0.0000
0.0000 5.4099 0.0000
0.0000 0.0000 5.4099
ATOMIC_POSITIONS angstrom
Tl 2.7050 2.7050 2.7050
Na 2.7050 0.0000 0.0000
Na 0.0000 2.7050 0.0000
Na 0.0000 0.0000 2.7050
Be 0.0000 0.0000 0.0000
```

4.
A relaxed structure of Na3BeTl, computed with GGA-PBE. Values from VASP.

**Space-group type**: Pm-3m, No. 221
**DFT total energy**: -1.24 eV per atom
**Crystal system**: cubic

```
&SYSTEM
  ibrav = 0, nat = 5, ntyp = 3
/
ATOMIC_SPECIES
Be 9.01 Be.upf
Tl 204.38 Tl.upf
Na 22.99 Na.upf
CELL_PARAMETERS angstrom
5.8662 0.0000 0.0000
0.0000 5.8662 0.0000
0.0000 0.0000 5.8662
ATOMIC_POSITIONS angstrom
Be 2.9331 2.9331 2.9331
Tl 0.0000 0.0000 0.0000
Na 2.9331 0.0000 0.0000
Na 0.0000 2.9331 0.0000
Na 0.0000 0.0000 2.9331
```

5.
A relaxed structure of NaBeTl2, computed with GGA-PBE. Values from VASP.

**Space-group type**: I-42d, No. 122
**DFT total energy**: -1.98 eV per atom
**Crystal system**: tetragonal

```
&SYSTEM
  ibrav = 0, nat = 8, ntyp = 3
/
ATOMIC_SPECIES
Tl 204.38 Tl.upf
Na 22.99 Na.upf
Be 9.01 Be.upf
CELL_PARAMETERS angstrom
5.8565 0.0000 0.0000
0.0000 5.8565 0.0000
2.9282 2.9282 7.4412
ATOMIC_POSITIONS angstrom
Tl 4.3924 5.2549 5.5809
Tl 3.5299 1.4641 1.8603
Tl 7.3206 6.4581 5.5809
Tl 2.3266 4.3924 1.8603
Na 5.8565 2.9282 3.7206
Na 0.0000 0.0000 0.0000
Be 2.9282 2.9282 0.0000
Be 2.9282 5.8565 3.7206
```

6.
A relaxed structure of NaBe3Tl, computed with GGA-PBE. Values from VASP.

**Space-group type**: Pm-3m, No. 221
**DFT total energy**: -1.32 eV per atom
**Crystal system**: cubic

```
&SYSTEM
  ibrav = 0, nat = 5, ntyp = 3
/
ATOMIC_SPECIES
Be 9.01 Be.upf
Na 22.99 Na.upf
Tl 204.38 Tl.upf
CELL_PARAMETERS angstrom
-3.0376 -2.8059 2.3028
2.4668 -3.7986 -1.3744
2.6629 0.3181 3.9001
ATOMIC_POSITIONS angstrom
Be 1.2334 -1.8993 -0.6872
Be -1.5188 -1.4029 1.1514
Be 1.3314 0.1591 1.9501
Na 0.0000 0.0000 0.0000
Tl 1.0460 -3.1432 2.4143
```

7.
A relaxed structure of NaBeTl3, computed with GGA-PBE. Values from VASP.

**Space-group type**: Pm-3m, No. 221
**DFT total energy**: -2.23 eV per atom
**Crystal system**: cubic

```
&SYSTEM
  ibrav = 0, nat = 5, ntyp = 3
/
ATOMIC_SPECIES
Na 22.99 Na.upf
Tl 204.38 Tl.upf
Be 9.01 Be.upf
CELL_PARAMETERS angstrom
5.1386 0.0000 0.0000
0.0000 5.1386 0.0000
0.0000 0.0000 5.1386
ATOMIC_POSITIONS angstrom
Na 2.5693 2.5693 2.5693
Tl 2.5693 0.0000 0.0000
Tl 0.0000 2.5693 0.0000
Tl 0.0000 0.0000 2.5693
Be 0.0000 0.0000 0.0000
```

8.
A relaxed structure of NaBe2TlW, computed with GGA-PBE. Values from VASP.

**Space-group type**: P4/mmm, No. 123
**DFT total energy**: -3.76 eV per atom
**Crystal system**: tetragonal

```
&SYSTEM
  ibrav = 0, nat = 5, ntyp = 4
/
ATOMIC_SPECIES
Na 22.99 Na.upf
Tl 204.38 Tl.upf
Be 9.01 Be.upf
W 183.84 W.upf
CELL_PARAMETERS angstrom
4.5855 0.0000 0.0000
0.0000 5.3193 0.0000
0.0000 0.0000 4.5855
ATOMIC_POSITIONS angstrom
Na 2.2927 2.6596 2.2927
Tl 0.0000 2.6596 0.0000
Be 0.0000 0.0000 2.2927
Be 2.2927 0.0000 0.0000
W 0.0000 0.0000 0.0000
```

9.
A relaxed structure of Na2BeV, computed with GGA-PBE. Values from VASP.

**Space-group type**: I-42d, No. 122
**DFT total energy**: -2.77 eV per atom
**Crystal system**: tetragonal

```
&SYSTEM
  ibrav = 0, nat = 8, ntyp = 3
/
ATOMIC_SPECIES
Na 22.99 Na.upf
V 50.94 V.upf
Be 9.01 Be.upf
CELL_PARAMETERS angstrom
8.2221 0.0000 0.0000
0.0000 8.2221 0.0000
4.1111 4.1111 2.6078
ATOMIC_POSITIONS angstrom
Na 10.2776 9.8874 1.9558
Na 2.4457 6.1666 0.6519
Na 6.1666 6.5568 1.9558
Na 5.7764 2.0555 0.6519
V 8.2221 4.1111 1.3039
V 0.0000 0.0000 0.0000
Be 4.1111 4.1111 0.0000
Be 4.1111 8.2221 1.3039
```

10.
A relaxed structure of NaBeV, computed with GGA-PBE. Values from VASP.

**Space-group type**: Pm, No. 6
**DFT total energy**: -4.19 eV per atom
**Crystal system**: monoclinic

```
&SYSTEM
  ibrav = 0, nat = 6, ntyp = 3
/
ATOMIC_SPECIES
V 50.94 V.upf
Na 22.99 Na.upf
Be 9.01 Be.upf
CELL_PARAMETERS angstrom
-1.5061 3.1779 -4.9426
-0.9961 -3.4603 -1.9213
-4.1841 0.5163 1.2394
ATOMIC_POSITIONS angstrom
V -4.1733 1.3156 -4.5405
V -2.3137 1.0577 -5.0402
Na -2.5568 1.7703 -1.8628
Na -4.9401 -0.1992 -1.4148
Be -2.8828 3.3376 -4.5165
Be -4.9568 3.5265 -3.7815
```

11.
A relaxed structure of NaBeV, computed with GGA-PBE. Values from VASP.

**Space-group type**: P1, No. 1
**DFT total energy**: -4.12 eV per atom
**Crystal system**: triclinic

```
&SYSTEM
  ibrav = 0, nat = 6, ntyp = 3
/
ATOMIC_SPECIES
V 50.94 V.upf
Na 22.99 Na.upf
Be 9.01 Be.upf
CELL_PARAMETERS angstrom
-0.6340 4.4405 -4.7719
3.4758 -4.2573 -2.9727
-1.6175 -1.4945 -0.6283
ATOMIC_POSITIONS angstrom
V -0.8803 -0.5255 -0.9211
V -0.7133 1.1242 -5.2776
Na 1.7657 -1.3608 -5.7860
Na 0.1045 -2.3082 -3.3913
Be 0.0133 1.0476 -2.7861
Be 1.4304 1.1387 -6.6579
```

12.
A relaxed structure of NaBeV, computed with GGA-PBE. Values from VASP.

**Space-group type**: Pm, No. 6
**DFT total energy**: -3.99 eV per atom
**Crystal system**: monoclinic

```
&SYSTEM
  ibrav = 0, nat = 6, ntyp = 3
/
ATOMIC_SPECIES
Na 22.99 Na.upf
Be 9.01 Be.upf
V 50.94 V.upf
CELL_PARAMETERS angstrom
5.4334 0.0000 0.0502
0.0000 2.2960 0.0000
0.5927 0.0000 7.3204
ATOMIC_POSITIONS angstrom
Na 2.2356 0.0000 7.0552
Na 1.7113 1.1480 2.6667
Be 0.7733 1.1480 4.9426
Be 4.7926 1.1480 6.7626
V 4.1643 0.0000 4.4713
V 4.4129 0.0000 1.6585
```

13.
A relaxed structure of NaBeV, computed with GGA-PBE. Values from VASP.

**Space-group type**: P6_3/mmc, No. 194
**DFT total energy**: -3.79 eV per atom
**Crystal system**: hexagonal

```
&SYSTEM
  ibrav = 0, nat = 6, ntyp = 3
/
ATOMIC_SPECIES
Be 9.01 Be.upf
Na 22.99 Na.upf
V 50.94 V.upf
CELL_PARAMETERS angstrom
3.8754 -2.2375 0.0000
0.0000 4.4749 0.0000
0.0000 0.0000 4.9613
ATOMIC_POSITIONS angstrom
Be 1.2918 2.2375 3.7210
Be 2.5836 0.0000 1.2403
Na 0.0000 0.0000 0.0000
Na 0.0000 0.0000 2.4807
V 1.2918 2.2375 1.2403
V 2.5836 0.0000 3.7210
```